Material: K3CoHg2F9
Method: DFT, PBE+U
State: relaxed

Lattice parameters (Å, degrees): 6.276 6.276 7.660 90.00 90.00 120.00
Last column: magnetic moment on the atom in μB.
Fractional coordinates of all 15 atoms:
F (0.847, 0.153, 0.650)  0.04
F (0.000, 0.500, 0.000)  0.01
F (0.305, 0.153, 0.650)  0.04
F (0.500, 0.500, 0.000)  0.01
F (0.500, 0.000, 0.000)  0.01
F (0.153, 0.305, 0.350)  0.04
F (0.153, 0.847, 0.350)  0.04
F (0.695, 0.847, 0.350)  0.04
F (0.847, 0.695, 0.650)  0.04
K (0.667, 0.333, 0.321)  0.00
K (0.333, 0.667, 0.679)  0.00
K (0.000, 0.000, 0.000)  0.00
Hg (0.667, 0.333, 0.814)  0.02
Hg (0.333, 0.667, 0.186)  0.02
Co (0.000, 0.000, 0.500)  2.87

## Properties
Final energy = -56.83 eV per cell